{"formula": "PrNd3Dy3", "functional": "GGA-PBE", "state": "optimized geometry", "lattice": [[4.3862, 2.5324, 7.4075], [-4.3862, 2.5324, 7.4075], [0.0000, -5.0647, 7.4075]], "species": ["Pr", "Pr", "Nd", "Nd", "Nd", "Nd", "Nd", "Nd", "Dy", "Dy", "Dy", "Dy", "Dy", "Dy"], "fractional_positions": [[0.1543, 0.1543, 0.1543], [0.8457, 0.8457, 0.8457], [0.0666, 0.5700, 0.2205], [0.2205, 0.0666, 0.5700], [0.4300, 0.7795, 0.9334], [0.5700, 0.2205, 0.0666], [0.7795, 0.9334, 0.4300], [0.9334, 0.4300, 0.7795], [0.2149, 0.6727, 0.4372], [0.3273, 0.5628, 0.7851], [0.4372, 0.2149, 0.6727], [0.5628, 0.7851, 0.3273], [0.6727, 0.4372, 0.2149], [0.7851, 0.3273, 0.5628]], "relative_energy_mev_per_atom": 170, "sg": "R-3, No. 148", "density_g_cm3": 7.14}